No. 1
VASP calculation (PBE) on a relaxed structure of LaTaMnSi2.

Computed properties:
As for the space group: I-4m2 (119). For the formation energy (no corrections), the calculation gives -2.50 eV/f.u.

a = 4.051 Å, b = 4.051 Å, c = 6.384 Å
α = 108.50°, β = 108.50°, γ = 90.00°
Site moments in Bohr magnetons follow the coordinates.
Sites, in units of the cell vectors:
La (0.000, 0.000, 0.000)  -0.09
Si (0.613, 0.613, 0.225)  -0.02
Si (0.387, 0.387, 0.775)  -0.02
Ta (0.250, 0.750, 0.500)  -0.31
Mn (0.750, 0.250, 0.500)  2.22

No. 2
VASP calculation (PBE) on a relaxed structure of BaFeBr.

Computed properties:
The calculation puts the relative energy among the computed polymorphs at 16.7 meV per atom. As for the space group: P3m1 (156). For the formation energy (no corrections), the calculation gives 0.05 eV/f.u.

a = 5.020 Å, b = 5.020 Å, c = 4.068 Å
α = 90.00°, β = 90.00°, γ = 120.00°
Site moments in Bohr magnetons follow the coordinates.
Sites, in units of the cell vectors:
Br (0.667, 0.333, 0.476)  0.06
Ba (0.000, 0.000, 0.003)  -0.07
Fe (0.333, 0.667, 0.521)  2.95

No. 3
VASP calculation (PBE) on a relaxed structure of TbCo3H6.

Computed properties:
As for the space group: R3 (146). As for the calculated total energy: -4.814 eV/atom.

a = 4.380 Å, b = 4.380 Å, c = 5.349 Å
α = 90.00°, β = 114.17°, γ = 120.00°
Site moments in Bohr magnetons follow the coordinates.
Sites, in units of the cell vectors:
H (0.366, 0.438, 0.793)  0.00
H (0.795, 0.088, 0.245)  -0.01
H (0.538, 0.450, 0.245)  -0.01
H (0.355, 0.928, 0.793)  0.00
H (0.157, 0.708, 0.245)  -0.01
H (0.865, 0.427, 0.793)  0.00
Co (0.679, 0.340, 0.019)  0.75
Co (0.346, 0.673, 0.019)  0.61
Co (0.137, 0.069, 0.206)  0.48
Tb (0.761, 0.881, 0.642)  -0.01

No. 4
VASP calculation (PBE) on a relaxed structure of Li2TaPb.

Computed properties:
As for the formation energy: 0.331 eV/atom. As for the space group: C2/m (12).

a = 5.969 Å, b = 5.969 Å, c = 2.952 Å
α = 76.98°, β = 76.98°, γ = 121.31°
Sites, in units of the cell vectors:
Pb (0.500, 0.000, 0.500)
Li (0.500, 0.500, 0.000)
Li (0.000, 0.000, 0.000)
Ta (0.000, 0.500, 0.500)

No. 5
VASP calculation (PBE) on a relaxed structure of TbPr2Mn.

Computed properties:
As for the formation energy: 0.546 eV/atom. The calculation puts the relative energy among the computed polymorphs at 357.0 meV per atom. As for the space group: R-3m (166).

a = 3.466 Å, b = 3.466 Å, c = 12.024 Å
α = 81.71°, β = 81.71°, γ = 60.00°
Site moments in Bohr magnetons follow the coordinates.
Sites, in units of the cell vectors:
Mn (0.000, 0.000, 0.000)  3.80
Tb (0.500, 0.500, 0.500)  0.08
Pr (0.082, 0.082, 0.754)  -0.15
Pr (0.918, 0.918, 0.246)  -0.15

No. 6
VASP calculation (PBE) on a relaxed structure of Ce3Si.

Computed properties:
The calculation puts the relative energy among the computed polymorphs at 212.4 meV per atom. As for the space group: Fm-3m (225). For the formation energy (no corrections), the calculation gives -0.54 eV/f.u.

a = 5.112 Å, b = 5.112 Å, c = 5.112 Å
α = 60.00°, β = 60.00°, γ = 60.00°
Site moments in Bohr magnetons follow the coordinates.
Sites, in units of the cell vectors:
Ce (0.250, 0.250, 0.250)  0.88
Ce (0.750, 0.750, 0.750)  0.88
Ce (0.000, 0.000, 0.000)  1.11
Si (0.500, 0.500, 0.500)  -0.03